The following is a PBE calculation of a geometry-optimized Ba8Zn2Cd structure, from the Alexandria database.

Geometry as CIF:
```
data_Ba8Zn2Cd
_symmetry_space_group_name_H-M 'P 1'
_symmetry_Int_Tables_number 1
_symmetry_space_group_name_Hall 'P 1'
_cell_length_a 11.0419
_cell_length_b 11.0419
_cell_length_c 8.3522
_cell_angle_alpha 106.68
_cell_angle_beta 106.68
_cell_angle_gamma 31.47
loop_
_atom_site_label
_atom_site_type_symbol
_atom_site_fract_x
_atom_site_fract_y
_atom_site_fract_z
Ba1 Ba 0.0371 0.0371 0.2959
Ba2 Ba 0.2024 0.2024 0.8227
Ba3 Ba 0.3279 0.3279 0.5284
Ba4 Ba 0.4051 0.4051 0.0485
Ba5 Ba 0.5949 0.5949 0.9515
Ba6 Ba 0.6721 0.6721 0.4716
Ba7 Ba 0.7976 0.7976 0.1773
Ba8 Ba 0.9629 0.9629 0.7041
Zn1 Zn 0.1862 0.1862 0.2120
Zn2 Zn 0.8138 0.8138 0.7880
Cd1 Cd 0.5000 0.5000 0.5000
```

Results
E_tot (eV per atom): -1.80
Relative energy among the computed polymorphs (meV per atom): 0.0
Calculated formation energy (kcal/mol of atoms): -2.02